1.
A crystal of BaTeW2 relaxed with PBEsol. Source: Alexandria, functional SCAN.

## Properties
crystal system	monoclinic
formation energy without anion corrections	1178	meV per atom
density of states at the Fermi level	0.8673	states/eV per atom
energy	-52.87	eV/atom

a = 2.9946 Å, b = 5.2812 Å, c = 6.0169 Å
α = 90.00°, β = 90.44°, γ = 90.00°
Last column: nearest neighbours and their distance in Å.
Sites, in units of the cell vectors:
Ba 0.0000 0.0000 0.0000  2 Ba 2.99, 2 Te 3.35
Te 0.5000 0.0000 0.5000  4 W 2.89, 2 Te 2.99
W 0.3707 0.5000 0.3144  1 W 2.36
W 0.6293 0.5000 0.6856  1 W 2.36

=====

2.
A crystal of LaNb2CdF relaxed with PBEsol. Source: Alexandria, functional SCAN.

## Properties
crystal system	tetragonal
formation energy without anion corrections	-191	meV per atom
density of states at the Fermi level	0.8546	states/eV per atom
energy	-28.86	eV/atom

a = 4.3765 Å, b = 4.3765 Å, c = 5.1966 Å
α = 90.00°, β = 90.00°, γ = 90.00°
Last column: nearest neighbours and their distance in Å.
Sites, in units of the cell vectors:
La 0.0000 0.0000 0.0000  4 Cd 3.09, 8 Nb 3.40
Nb 0.0000 0.5000 0.5000  2 F 2.19
Nb 0.5000 0.0000 0.5000  2 F 2.19
Cd 0.5000 0.5000 0.0000  2 F 2.60
F 0.5000 0.5000 0.5000  4 Nb 2.19

=====

3.
A crystal of Ni2SbTe2 relaxed with PBEsol. Source: Alexandria, functional SCAN.

## Properties
crystal system	hexagonal
formation energy without anion corrections	-292	meV per atom
density of states at the Fermi level	0.4074	states/eV per atom
energy	-29.11	eV/atom

a = 3.8835 Å, b = 3.8835 Å, c = 15.3374 Å
α = 90.00°, β = 90.00°, γ = 120.00°
Last column: nearest neighbours and their distance in Å.
Sites, in units of the cell vectors:
Ni 0.0000 0.0000 0.1653  3 Te 2.55, 3 Sb 2.59, 1 Ni 2.60
Ni 0.0000 0.0000 0.3347  3 Te 2.55, 3 Sb 2.59, 1 Ni 2.60
Ni 0.0000 0.0000 0.6653  3 Te 2.55, 3 Sb 2.59, 1 Ni 2.60
Ni 0.0000 0.0000 0.8347  3 Te 2.55, 3 Sb 2.59, 1 Ni 2.60
Sb 0.3333 0.6667 0.2500  6 Ni 2.59
Sb 0.6667 0.3333 0.7500  6 Ni 2.59
Te 0.3333 0.6667 0.5865  3 Ni 2.55
Te 0.3333 0.6667 0.9135  3 Ni 2.55
Te 0.6667 0.3333 0.0865  3 Ni 2.55
Te 0.6667 0.3333 0.4135  3 Ni 2.55

=====

4.
A crystal of RbZnSeBr2 relaxed with PBEsol. Source: Alexandria, functional SCAN.

## Properties
crystal system	tetragonal
E above lowest polymorph	0	meV/atom
formation energy without anion corrections	-893	meV per atom
density of states at the Fermi level	0.5520	states/eV per atom
energy	-19.54	eV/atom

a = 5.3697 Å, b = 5.3697 Å, c = 4.8620 Å
α = 90.00°, β = 90.00°, γ = 90.00°
Last column: nearest neighbours and their distance in Å.
Sites, in units of the cell vectors:
Rb 0.0000 0.0000 0.0000  8 Br 3.62, 4 Se 3.80
Zn 0.5000 0.5000 0.5000  2 Se 2.43, 4 Br 2.68
Se 0.5000 0.5000 0.0000  2 Zn 2.43
Br 0.0000 0.5000 0.5000  2 Zn 2.68
Br 0.5000 0.0000 0.5000  2 Zn 2.68

=====

5.
A crystal of MnAuSe2 relaxed with PBEsol. Source: Alexandria, functional SCAN.

## Properties
crystal system	trigonal
formation energy without anion corrections	-166	meV per atom
density of states at the Fermi level	0.4913	states/eV per atom
energy	-32.06	eV/atom

a = 3.3015 Å, b = 3.3015 Å, c = 22.2328 Å
α = 90.00°, β = 90.00°, γ = 120.00°
Last column: nearest neighbours and their distance in Å.
Sites, in units of the cell vectors:
Mn 0.0000 0.0000 0.0000  6 Se 2.44
Mn 0.3333 0.6667 0.6667  6 Se 2.44
Mn 0.6667 0.3333 0.3333  6 Se 2.44
Au 0.0000 0.0000 0.5000  6 Se 2.90
Au 0.3333 0.6667 0.1667  6 Se 2.90
Au 0.6667 0.3333 0.8333  6 Se 2.90
Se 0.0000 0.0000 0.2650  3 Mn 2.44
Se 0.0000 0.0000 0.7350  3 Mn 2.44
Se 0.3333 0.6667 0.4016  3 Mn 2.44
Se 0.3333 0.6667 0.9317  3 Mn 2.44
Se 0.6667 0.3333 0.0683  3 Mn 2.44
Se 0.6667 0.3333 0.5984  3 Mn 2.44

=====

6.
A crystal of Ga2Bi2Sb relaxed with PBEsol. Source: Alexandria, functional SCAN.

## Properties
crystal system	tetragonal
formation energy without anion corrections	335	meV per atom
density of states at the Fermi level	0.6749	states/eV per atom
energy	-45.09	eV/atom

a = 4.9902 Å, b = 4.9902 Å, c = 10.6560 Å
α = 90.00°, β = 90.00°, γ = 90.00°
Last column: nearest neighbours and their distance in Å.
Sites, in units of the cell vectors:
Ga 0.0000 0.0000 0.1117  1 Ga 2.38
Ga 0.0000 0.0000 0.8883  1 Ga 2.38
Ga 0.5000 0.5000 0.3883  1 Ga 2.38
Ga 0.5000 0.5000 0.6117  1 Ga 2.38
Bi 0.0000 0.5000 0.2500  4 Ga 2.90
Bi 0.0000 0.5000 0.7500  4 Ga 2.90
Bi 0.5000 0.0000 0.2500  4 Ga 2.90
Bi 0.5000 0.0000 0.7500  4 Ga 2.90
Sb 0.0000 0.0000 0.5000  8 Bi 3.65, 8 Ga 3.72
Sb 0.5000 0.5000 0.0000  8 Bi 3.65, 8 Ga 3.72